[1]
Material: K2InPb6
Method: DFT, GGA-PBE
State: relaxed

Properties
symmetry: C2/m (12)
DOS(E_F): 3.98 states/eV per cell
theoretical density: 8.1 g cm⁻³
energy of formation from the pure elements: -0.0516 eV/atom
calculated total energy: -27.65 eV/cell
total moment: 0.000 μB/atom

a b c (Å): 3.437 9.951 9.951
angles (deg): 60.01 89.93 89.93
Fractional coordinates of all 9 atoms:
K 0.000 0.333 0.333
K 0.000 0.667 0.667
In 0.000 0.000 0.000
Pb 0.498 0.676 0.000
Pb 0.502 0.000 0.324
Pb 0.502 0.324 0.000
Pb 0.500 0.676 0.324
Pb 0.498 0.000 0.676
Pb 0.500 0.324 0.676



[2]
Material: K2In6Pb3
Method: DFT, GGA-PBE
State: relaxed

Properties
symmetry: Cmmm (65)
DOS(E_F): 5.66 states/eV per cell
theoretical density: 5.7 g cm⁻³
energy of formation from the pure elements: -0.0001 eV/atom
calculated total energy: -29.75 eV/cell
total moment: 0.000 μB/atom

a b c (Å): 4.829 9.187 9.187
angles (deg): 97.67 90.00 90.00
Fractional coordinates of all 11 atoms:
K 0.000 0.289 0.711
K 0.000 0.711 0.289
In 0.500 0.383 0.383
In 0.500 0.617 0.617
In 0.500 0.051 0.355
In 0.500 0.949 0.645
In 0.500 0.355 0.051
In 0.500 0.645 0.949
Pb 0.000 0.207 0.207
Pb 0.000 0.793 0.793
Pb 0.500 0.000 0.000



[3]
Material: K2In3Pb4
Method: DFT, GGA-PBE
State: relaxed

Properties
symmetry: Fmmm (69)
DOS(E_F): 4.75 states/eV per cell
theoretical density: 7.1 g cm⁻³
energy of formation from the pure elements: -0.0672 eV/atom
calculated total energy: -25.85 eV/cell
total moment: 0.000 μB/atom

a b c (Å): 6.160 6.336 9.061
angles (deg): 80.49 70.13 60.92
Fractional coordinates of all 9 atoms:
K 0.623 0.000 0.754
K 0.377 0.000 0.246
In 0.000 0.500 0.000
In 0.000 0.000 0.000
In 0.500 0.500 0.000
Pb 0.993 0.668 0.346
Pb 0.661 0.332 0.346
Pb 0.007 0.332 0.654
Pb 0.339 0.668 0.654



[4]
Material: KIn3Pb
Method: DFT, GGA-PBE
State: relaxed

Properties
symmetry: Pm-3m (221)
DOS(E_F): 2.83 states/eV per cell
theoretical density: 4.7 g cm⁻³
energy of formation from the pure elements: 0.7851 eV/atom
calculated total energy: -9.10 eV/cell
total moment: 0.000 μB/atom

a b c (Å): 5.923 5.923 5.923
angles (deg): 90.00 90.00 90.00
Fractional coordinates of all 5 atoms:
Pb 0.500 0.500 0.500
K 0.000 0.000 0.000
In 0.000 0.500 0.000
In 0.000 0.000 0.500
In 0.500 0.000 0.000



[5]
Material: KIn2Pb
Method: DFT, GGA-PBE
State: relaxed

Properties
symmetry: Imm2 (44)
DOS(E_F): 2.02 states/eV per cell
theoretical density: 6.1 g cm⁻³
energy of formation from the pure elements: 0.0016 eV/atom
calculated total energy: -10.28 eV/cell
total moment: 0.000 μB/atom

a b c (Å): 6.569 6.569 6.569
angles (deg): 144.38 127.35 65.19
Fractional coordinates of all 4 atoms:
In 0.996 0.996 0.000
In 0.775 0.275 0.500
K 0.502 0.502 0.000
Pb 0.227 0.727 0.500



[6]
Material: KIn3Pb
Method: DFT, GGA-PBE
State: relaxed

Properties
symmetry: Pmn2_1 (31)
DOS(E_F): 3.37 states/eV per cell
theoretical density: 6.1 g cm⁻³
energy of formation from the pure elements: -0.0564 eV/atom
calculated total energy: -26.61 eV/cell
total moment: 0.000 μB/atom

a b c (Å): 6.910 6.903 6.784
angles (deg): 90.00 90.00 90.00
Fractional coordinates of all 10 atoms:
K 0.481 0.433 0.701
K 0.981 0.920 0.201
In 0.321 0.277 0.201
In 0.476 0.938 0.952
In 0.976 0.415 0.452
In 0.821 0.075 0.701
In 0.976 0.415 0.950
In 0.476 0.938 0.450
Pb 0.124 0.775 0.701
Pb 0.624 0.578 0.201



[7]
Material: KIn2Pb
Method: DFT, GGA-PBE
State: relaxed

Properties
symmetry: R-3m (166)
DOS(E_F): 2.40 states/eV per cell
theoretical density: 6.0 g cm⁻³
energy of formation from the pure elements: 0.0277 eV/atom
calculated total energy: -10.17 eV/cell
total moment: 0.000 μB/atom

a b c (Å): 11.162 11.162 11.162
angles (deg): 19.26 19.26 19.26
Fractional coordinates of all 4 atoms:
In 0.007 0.007 0.007
In 0.493 0.493 0.493
K 0.250 0.250 0.250
Pb 0.750 0.750 0.750



[8]
Material: K2In5Pb12
Method: DFT, GGA-PBE
State: relaxed

Properties
symmetry: R-3m (166)
DOS(E_F): 10.35 states/eV per cell
theoretical density: 8.2 g cm⁻³
energy of formation from the pure elements: -0.0298 eV/atom
calculated total energy: -60.95 eV/cell
total moment: 0.000 μB/atom

a b c (Å): 8.675 8.675 8.675
angles (deg): 81.43 81.43 81.43
Fractional coordinates of all 19 atoms:
K 0.660 0.660 0.660
K 0.340 0.340 0.340
In 0.000 0.000 0.500
In 0.000 0.500 0.000
In 0.500 0.000 0.000
In 0.903 0.903 0.903
In 0.097 0.097 0.097
Pb 0.295 0.705 0.000
Pb 0.705 0.000 0.295
Pb 0.000 0.295 0.705
Pb 0.705 0.295 0.000
Pb 0.295 0.000 0.705
Pb 0.000 0.705 0.295
Pb 0.350 0.350 0.851
Pb 0.350 0.851 0.350
Pb 0.851 0.350 0.350
Pb 0.650 0.149 0.650
Pb 0.650 0.650 0.149
Pb 0.149 0.650 0.650



[9]
Material: KIn2Pb
Method: DFT, GGA-PBE
State: relaxed

Properties
symmetry: C2/m (12)
DOS(E_F): 2.33 states/eV per cell
theoretical density: 6.1 g cm⁻³
energy of formation from the pure elements: -0.0328 eV/atom
calculated total energy: -10.41 eV/cell
total moment: 0.000 μB/atom

a b c (Å): 5.679 5.679 6.813
angles (deg): 82.14 82.14 36.72
Fractional coordinates of all 4 atoms:
In 0.993 0.993 0.038
In 0.507 0.507 0.462
K 0.750 0.750 0.750
Pb 0.250 0.250 0.250



[10]
Material: K3In8Pb
Method: DFT, GGA-PBE
State: relaxed

Properties
symmetry: R3m (160)
DOS(E_F): 6.34 states/eV per cell
theoretical density: 5.5 g cm⁻³
energy of formation from the pure elements: -0.0809 eV/atom
calculated total energy: -29.88 eV/cell
total moment: 0.000 μB/atom

a b c (Å): 6.442 6.442 11.028
angles (deg): 73.02 73.02 60.00
Fractional coordinates of all 12 atoms:
K 0.376 0.376 0.872
K 0.998 0.998 0.005
K 0.501 0.501 0.498
In 0.937 0.437 0.189
In 0.438 0.940 0.682
In 0.437 0.437 0.189
In 0.940 0.940 0.682
In 0.188 0.188 0.437
In 0.690 0.690 0.931
In 0.437 0.937 0.189
In 0.940 0.438 0.682
Pb 0.869 0.869 0.394



[11]
Material: KIn5Pb
Method: DFT, GGA-PBE
State: relaxed

Properties
symmetry: P4/mmm (123)
DOS(E_F): 3.36 states/eV per cell
theoretical density: 5.9 g cm⁻³
energy of formation from the pure elements: -0.0132 eV/atom
calculated total energy: -18.59 eV/cell
total moment: 0.000 μB/atom

a b c (Å): 4.576 4.576 11.106
angles (deg): 90.00 90.00 90.00
Fractional coordinates of all 7 atoms:
K 0.000 0.000 0.500
In 0.500 0.500 0.000
In 0.000 0.500 0.235
In 0.500 0.000 0.235
In 0.000 0.500 0.765
In 0.500 0.000 0.765
Pb 0.000 0.000 0.000



[12]
Material: KIn6Pb4
Method: DFT, GGA-PBE
State: relaxed

Properties
symmetry: P-6m2 (187)
DOS(E_F): 5.97 states/eV per cell
theoretical density: 7.2 g cm⁻³
energy of formation from the pure elements: 0.0263 eV/atom
calculated total energy: -32.07 eV/cell
total moment: 0.000 μB/atom

a b c (Å): 4.570 9.527 9.527
angles (deg): 120.00 90.00 90.00
Fractional coordinates of all 11 atoms:
K 0.000 0.000 0.000
In 0.000 0.524 0.049
In 0.500 0.611 0.805
In 0.000 0.524 0.476
In 0.000 0.951 0.476
In 0.500 0.195 0.805
In 0.500 0.195 0.389
Pb 0.500 0.795 0.590
Pb 0.500 0.410 0.205
Pb 0.500 0.795 0.205
Pb 0.000 0.333 0.667